Record 1
Computed, not measured: Er4TlCo2Ge4 after structural relaxation at the PBE level of DFT.

Raw total energy   -5.521 eV/atom

Cell: 15.4177 4.1930 7.0271 Å, 90.00 108.08 90.00°
Space group C2/m (No. 12)
Inequivalent atoms, fractional coordinates:
Er: 0.0906 0.0000 0.3897 (multiplicity 4)
Er: 0.1548 0.0000 0.9403 (multiplicity 4)
Tl: 0.0000 0.5000 0.0000 (multiplicity 2)
Co: 0.2203 0.5000 0.6254 (multiplicity 4)
Ge: 0.0694 0.5000 0.6571 (multiplicity 4)
Ge: 0.2070 0.5000 0.2691 (multiplicity 4)

---

Record 2
Computed, not measured: YErCo2Ge2 after structural relaxation at the PBE level of DFT.

Raw total energy   -6.409 eV/atom

Cell: 4.0295 4.0295 6.6728 Å, 90.00 90.00 90.00°
Space group P4mm (No. 99)
Inequivalent atoms, fractional coordinates:
Y: 0.0000 0.0000 0.0000 (multiplicity 1)
Er: 0.5000 0.5000 0.3724 (multiplicity 1)
Co: 0.0000 0.5000 0.6809 (multiplicity 2)
Ge: 0.0000 0.0000 0.4765 (multiplicity 1)
Ge: 0.5000 0.5000 0.8863 (multiplicity 1)

---

Record 3
Computed, not measured: ErHfCo after structural relaxation at the PBE level of DFT.

E_form   0.78 eV/atom

Cell: 6.3348 6.3348 6.3348 Å, 90.00 90.00 90.00°
Space group F-43m (No. 216)
Inequivalent atoms, fractional coordinates:
Er: 0.0000 0.0000 0.0000 (multiplicity 4)
Hf: 0.2500 0.2500 0.7500 (multiplicity 4)
Co: 0.0000 0.0000 0.5000 (multiplicity 4)

---

Record 4
Computed, not measured: Er3Hf3CoTe2 after structural relaxation at the PBE level of DFT.

Raw total energy   -6.942 eV/atom

Cell: 7.9748 7.9748 3.7574 Å, 90.00 90.00 120.00°
Space group P-62m (No. 189)
Inequivalent atoms, fractional coordinates:
Er: 0.0000 0.3971 0.0000 (multiplicity 3)
Hf: 0.0000 0.7727 0.5000 (multiplicity 3)
Co: 0.0000 0.0000 0.0000 (multiplicity 1)
Te: 0.3333 0.6667 0.5000 (multiplicity 2)

---

Record 5
Computed, not measured: Er3Hf3CoTe2 after structural relaxation at the PBE level of DFT.

Raw total energy   -6.704 eV/atom

Cell: 8.0699 8.0699 3.6028 Å, 90.00 90.00 120.00°
Space group P-62m (No. 189)
Inequivalent atoms, fractional coordinates:
Er: 0.0000 0.7561 0.0000 (multiplicity 3)
Hf: 0.0000 0.4019 0.5000 (multiplicity 3)
Co: 0.0000 0.0000 0.5000 (multiplicity 1)
Te: 0.3333 0.6667 0.0000 (multiplicity 2)

---

Record 6
Computed, not measured: ErCoHg after structural relaxation at the PBE level of DFT.

E_form   -0.04 eV/atom

Cell: 6.3591 6.3591 6.3591 Å, 90.00 90.00 90.00°
Space group F-43m (No. 216)
Inequivalent atoms, fractional coordinates:
Er: 0.0000 0.0000 0.0000 (multiplicity 4)
Co: 0.2500 0.2500 0.2500 (multiplicity 4)
Hg: 0.0000 0.0000 0.5000 (multiplicity 4)

---

Record 7
Computed, not measured: Er12Co6Hg after structural relaxation at the PBE level of DFT.

E_form   -0.26 eV/atom

Cell: 9.5338 9.5338 9.5338 Å, 90.00 90.00 90.00°
Space group Im-3 (No. 204)
Inequivalent atoms, fractional coordinates:
Er: 0.0000 0.1938 0.3015 (multiplicity 24)
Co: 0.0000 0.3859 0.5000 (multiplicity 12)
Hg: 0.0000 0.0000 0.0000 (multiplicity 2)

---

Record 8
Computed, not measured: HoErCo4 after structural relaxation at the PBE level of DFT.

E_form   -0.23 eV/atom

Cell: 7.0987 7.0987 7.0987 Å, 90.00 90.00 90.00°
Space group F-43m (No. 216)
Inequivalent atoms, fractional coordinates:
Ho: 0.0000 0.0000 0.0000 (multiplicity 4)
Er: 0.2500 0.2500 0.7500 (multiplicity 4)
Co: 0.1249 0.1249 0.3751 (multiplicity 16)

---

Record 9
Computed, not measured: HoErCo after structural relaxation at the PBE level of DFT.

E_form   0.04 eV/atom

Cell: 4.7414 4.7414 6.7007 Å, 90.00 90.00 90.00°
Space group P4_2/mmc (No. 131)
Inequivalent atoms, fractional coordinates:
Ho: 0.0000 0.0000 0.2500 (multiplicity 2)
Er: 0.5000 0.5000 0.0000 (multiplicity 2)
Co: 0.0000 0.5000 0.0000 (multiplicity 2)

---

Record 10
Computed, not measured: HoErCo2 after structural relaxation at the PBE level of DFT.

E_form   -0.23 eV/atom

Cell: 3.8308 5.4823 7.3574 Å, 90.00 90.00 90.00°
Space group Pmc2_1 (No. 26)
Inequivalent atoms, fractional coordinates:
Ho: 0.0000 0.1311 0.0000 (multiplicity 2)
Er: 0.5000 0.3692 0.3557 (multiplicity 2)
Co: 0.0000 0.3539 0.6492 (multiplicity 2)
Co: 0.5000 0.1485 0.7056 (multiplicity 2)

---

Record 11
Computed, not measured: HoErInCo2 after structural relaxation at the PBE level of DFT.

Raw total energy   -5.576 eV/atom

Cell: 3.8711 3.8064 13.7117 Å, 90.00 90.00 90.00°
Space group Amm2 (No. 38)
Inequivalent atoms, fractional coordinates:
Ho: 0.0000 0.0000 0.0000 (multiplicity 2)
Er: 0.0000 0.0000 0.7207 (multiplicity 2)
In: 0.5000 0.0000 0.3601 (multiplicity 2)
Co: 0.5000 0.0000 0.1547 (multiplicity 2)
Co: 0.5000 0.0000 0.5667 (multiplicity 2)

---

Record 12
Computed, not measured: HoErIn4Co2 after structural relaxation at the PBE level of DFT.

Raw total energy   -4.573 eV/atom

Cell: 7.6204 4.2410 10.1636 Å, 90.00 90.00 90.00°
Space group Amm2 (No. 38)
Inequivalent atoms, fractional coordinates:
Ho: 0.0000 0.0000 0.0000 (multiplicity 2)
Er: 0.5000 0.0000 0.8677 (multiplicity 2)
In: 0.1998 0.0000 0.2881 (multiplicity 4)
In: 0.3009 0.0000 0.5798 (multiplicity 4)
Co: 0.0000 0.0000 0.7176 (multiplicity 2)
Co: 0.5000 0.0000 0.1501 (multiplicity 2)